Li2Mn3NbO8 | PBE+U | relaxed

Results
The relative energy among the computed polymorphs is 49.3 meV per atom. As for the space group: P4_332 (212). As for the theoretical density: 4.116 g cm⁻³.

Structure (extended XYZ):
```
56
Lattice="-5.5644 3.7536 5.4393 -4.8749 -7.1322 -0.0652 4.4621 -3.1113 6.7117" Properties=species:S:1:pos:R:3 pbc="T T T"
O 0.0685 -1.2425 6.3582
O -2.1606 -0.0739 2.7627
O -5.3324 -5.7898 10.7820
O -5.2305 -0.5870 7.3459
O -2.1586 0.2923 5.9312
O -4.9368 -0.8050 4.1177
O -4.3554 -6.3628 1.3656
O -2.4180 -7.6016 7.6329
O 0.0045 -3.9739 8.1162
O -4.9436 -5.8169 7.3094
O -4.6639 -3.1992 2.8173
O -5.1167 2.1108 5.5393
O -2.5888 -2.0339 10.5382
O 0.2005 -4.2831 4.6411
O -7.1209 -4.1504 4.3907
O -2.5728 -2.2648 7.7921
O -2.4371 -4.7875 9.1018
O -4.6927 -6.2086 4.5932
O -7.4891 -3.9322 7.0953
O -2.6012 0.2086 8.9667
O -5.0314 -3.3736 5.9808
O -0.3401 -1.3295 9.1093
O -1.7790 -2.5526 1.6205
O -2.3462 -5.1655 6.3465
O -5.0836 -2.9289 8.7910
O -2.1391 -2.3226 4.3252
O -2.1736 -7.4984 4.8899
O 2.7586 -3.0373 6.6697
O -7.1567 -1.6719 5.5542
O 0.1930 -1.4415 3.1924
O -1.8987 -5.2999 3.2066
O -0.0933 -6.7154 6.4890
Li 0.7534 -3.1438 6.4313
Li -3.0150 -3.2736 6.0963
Li -3.9090 -5.2504 2.9942
Li -4.4565 -4.8387 9.0110
Li 1.6632 -1.2688 9.3774
Li -4.3423 0.2531 5.7352
Li -2.6667 -8.6260 3.2853
Li -7.9360 0.1887 5.4126
Mn -3.9087 -1.3262 8.9341
Mn -0.8512 -3.3716 3.1819
Mn -6.0774 -5.0646 5.8540
Mn -0.9462 -5.9298 4.8393
Mn -5.9663 -2.5091 4.1934
Mn -8.5758 -3.3457 5.5317
Mn -3.3573 -1.6639 2.8595
Mn -1.2213 -5.7778 7.8727
Mn -1.5735 -0.3214 10.6187
Mn -1.0309 -0.6533 4.5527
Mn -1.3062 -0.4847 7.5852
Mn -1.0486 -8.4912 6.4914
Nb -6.2424 -2.3400 7.2355
Nb -0.7472 -0.8112 1.5107
Nb -1.4015 -3.0509 9.2478
Nb -3.5634 -6.7776 6.1775
```